Below is MgRhO3 after structural relaxation, with properties calculated at the PBE level.

formation energy without anion corrections = -1.191 eV/atom

Geometry as POSCAR:
```
MgRhO3
1.0
6.891 0.000 0.000
3.446 5.968 0.000
3.446 1.989 5.627
O Rh Mg
12 4 4
Cartesian
8.490 3.056 4.118
11.935 5.045 5.525
5.293 3.056 4.118
6.891 2.133 1.508
8.490 4.901 1.508
8.738 5.045 5.525
10.337 7.814 5.525
6.891 5.824 4.118
5.293 4.901 1.508
11.935 6.891 2.915
10.337 4.122 2.915
8.738 6.891 2.915
6.891 3.979 0.703
5.168 4.973 3.517
6.891 1.989 3.517
8.614 4.973 3.517
3.446 1.989 3.517
3.446 3.979 0.703
5.168 0.995 0.703
1.723 0.995 0.703
```

Below is InAgW2 after structural relaxation, with properties calculated at the PBE level.

formation energy = 22.37 kcal/mol of atoms

Geometry as POSCAR:
```
InAgW2
1.0
4.956 0.000 0.000
0.000 4.956 0.000
0.000 0.000 2.860
W Ag In
2 1 1
Cartesian
0.000 0.000 0.000
2.478 2.478 0.000
2.478 0.000 1.430
0.000 2.478 1.430
```

Below is Sc2CdOs after structural relaxation, with properties calculated at the PBE level.

formation energy = 4.04 kcal/mol of atoms

Geometry as POSCAR:
```
Sc2CdOs
1.0
9.888 0.013 0.007
9.397 3.079 0.007
9.397 1.506 2.685
Sc Cd Os
2 1 1
Cartesian
21.579 3.459 2.032
28.310 4.538 2.665
14.553 2.333 1.370
7.262 1.164 0.684
```

Below is Tb5Hg3 after structural relaxation, with properties calculated at the PBE level.

formation energy = -7.86 kcal/mol of atoms

Geometry as POSCAR:
```
Tb5Hg3
1.0
-6.191 -5.371 1.743
-2.363 0.115 -8.038
8.168 -2.251 1.934
Tb Hg
10 6
Cartesian
0.000 0.000 0.000
-2.972 -3.236 -6.567
-3.234 -4.964 -0.461
-5.611 -5.944 -4.143
-0.595 -2.257 -2.884
2.848 -2.542 -3.901
-4.277 -2.628 -3.147
5.225 -1.563 -0.218
2.586 -4.270 2.206
0.209 -5.250 -1.477
1.945 -2.439 -0.607
-2.558 -1.915 -0.502
-6.171 -4.575 -1.392
-2.331 -5.067 -3.754
-5.996 -3.341 -5.793
-2.383 -0.681 -4.903
```

Below is Na2PrBeO4 after structural relaxation, with properties calculated at the PBE level.

formation energy without anion corrections = -1.962 eV/atom

Geometry as POSCAR:
```
Na2PrBeO4
1.0
-3.574 3.237 3.174
-4.226 2.155 -1.707
-3.870 -1.774 2.701
Na O Pr Be
2 4 1 1
Cartesian
-5.924 2.790 0.983
-5.746 0.827 3.185
-2.725 0.737 -0.357
-9.055 4.102 3.155
-7.729 1.779 3.445
-3.830 0.617 2.094
0.000 0.000 0.000
-4.048 0.191 0.497
```

Below is Sm4Cd3Pt after structural relaxation, with properties calculated at the PBE level.

formation energy = -12.06 kcal/mol of atoms

Geometry as POSCAR:
```
Sm4Cd3Pt
1.0
3.727 0.000 0.000
0.000 3.727 0.000
0.000 0.000 15.165
Pt Sm Cd
1 4 3
Cartesian
1.864 1.864 0.000
0.000 0.000 9.553
0.000 0.000 13.514
0.000 0.000 1.651
0.000 0.000 5.612
1.864 1.864 11.470
1.864 1.864 7.583
1.864 1.864 3.695
```

Below is NiHg2 after structural relaxation, with properties calculated at the PBE level.

formation energy = 6.97 kcal/mol of atoms

Geometry as POSCAR:
```
NiHg2
1.0
2.865 -4.962 0.000
2.865 4.962 0.000
0.000 0.000 4.104
Hg Ni
4 2
Cartesian
1.732 2.999 0.000
2.267 0.000 0.000
0.000 0.000 2.052
1.732 -2.999 0.000
2.865 -1.654 2.052
2.865 1.654 2.052
```

Below is LiHgO2 after structural relaxation, with properties calculated at the PBE level.

formation energy without anion corrections = -0.550 eV/atom

Geometry as POSCAR:
```
LiHgO2
1.0
-2.669 -0.819 1.638
-1.898 -2.386 -1.088
1.292 -4.594 3.006
O Li Hg
2 1 1
Cartesian
-0.883 -1.869 0.824
0.685 -3.834 2.398
-1.800 -6.672 3.326
-1.623 -3.918 1.793
```

Below is NpTaNb after structural relaxation, with properties calculated at the PBE level.

formation energy = 11.08 kcal/mol of atoms

Geometry as POSCAR:
```
NpTaNb
1.0
-1.826 2.414 -1.117
-1.788 -0.110 2.684
8.685 6.313 4.105
Ta Nb Np
2 2 2
Cartesian
5.021 5.449 3.568
0.050 3.168 2.103
0.822 0.892 0.584
4.250 7.725 5.088
2.006 5.290 3.493
3.065 3.327 2.179
```

Below is NaTlPO3 after structural relaxation, with properties calculated at the PBE level.

formation energy without anion corrections = -1.561 eV/atom

Geometry as POSCAR:
```
NaTlPO3
1.0
-2.588 1.547 5.200
-3.015 -3.348 -3.978
2.243 -5.179 2.658
P O Na Tl
2 6 2 2
Cartesian
-1.048 -3.968 4.134
-2.312 -3.011 -0.255
0.154 -3.931 3.191
-3.514 -3.048 0.688
-2.312 -4.724 3.729
-2.375 -3.729 -1.601
-1.047 -2.255 0.150
-0.985 -3.250 5.480
1.122 -2.589 1.329
0.000 0.000 0.000
-2.169 -1.379 2.805
-1.190 -5.600 1.074
```

Below is PaNiPb after structural relaxation, with properties calculated at the PBE level.

formation energy = -1.11 kcal/mol of atoms

Geometry as POSCAR:
```
PaNiPb
1.0
-2.840 3.015 -0.669
-1.145 -0.154 4.167
3.144 2.677 -1.281
Pb Pa Ni
1 1 1
Cartesian
-0.260 0.276 -0.061
-0.011 3.566 0.128
-0.569 1.696 2.150
```

Below is Pa2AlIr2 after structural relaxation, with properties calculated at the PBE level.

formation energy = -19.11 kcal/mol of atoms

Geometry as POSCAR:
```
Pa2AlIr2
1.0
4.478 0.000 0.000
2.239 4.838 0.054
2.239 1.347 4.647
Ir Pa Al
2 2 1
Cartesian
4.478 2.233 3.481
4.478 3.952 1.219
2.239 1.918 1.457
6.717 4.267 3.243
0.000 0.000 0.000
```

Below is CoHI2N after structural relaxation, with properties calculated at the PBE level.

calculated total energy = -0.2630 Ry per atom

Geometry as POSCAR:
```
CoHI2N
1.0
5.500 0.000 0.000
0.000 5.500 0.000
0.000 0.000 3.412
I H N Co
2 1 1 1
Cartesian
2.750 0.000 0.000
0.000 2.750 0.000
2.750 2.750 1.706
0.000 0.000 1.706
0.000 0.000 0.000
```

Below is SbBrCl2 after structural relaxation, with properties calculated at the PBE level.

formation energy without anion corrections = -0.060 eV/atom

Geometry as POSCAR:
```
SbBrCl2
1.0
0.269 -3.927 9.440
3.789 -4.042 8.597
2.339 -0.993 9.907
Cl Sb Br
2 1 1
Cartesian
5.752 -8.059 25.127
0.645 -0.903 2.816
3.198 -4.481 13.972
0.000 0.000 0.000
```

Below is Pr5Ga5Ni2 after structural relaxation, with properties calculated at the PBE level.

formation energy = -11.41 kcal/mol of atoms

Geometry as POSCAR:
```
Pr5Ga5Ni2
1.0
4.110 0.000 0.927
1.974 7.819 0.821
0.130 -0.041 8.996
Ga Pr Ni
5 5 2
Cartesian
3.411 1.873 4.024
4.553 2.307 8.534
0.000 0.000 0.000
2.803 5.905 6.721
1.661 5.470 2.211
1.052 3.889 4.909
1.859 2.517 1.330
3.422 7.278 3.977
2.792 0.500 6.768
4.354 5.260 9.414
3.595 4.248 3.210
2.619 3.529 7.534
```

Below is Er2NbFe after structural relaxation, with properties calculated at the PBE level.

formation energy = 14.58 kcal/mol of atoms

Geometry as POSCAR:
```
Er2NbFe
1.0
3.174 0.000 0.000
1.587 2.749 0.000
1.587 0.916 9.979
Nb Er Fe
1 2 1
Cartesian
0.000 0.000 0.000
1.587 0.916 7.002
4.761 2.749 2.977
3.174 1.832 4.990
```

Below is Nd8TlZn2 after structural relaxation, with properties calculated at the PBE level.

formation energy = -3.45 kcal/mol of atoms

Geometry as POSCAR:
```
Nd8TlZn2
1.0
-3.426 -3.357 1.726
3.243 -5.722 -4.691
5.320 2.165 7.242
Tl Nd Zn
1 8 2
Cartesian
-1.713 -1.679 0.863
2.426 0.118 5.045
4.658 -2.665 4.063
2.390 -2.636 7.143
2.932 -5.515 2.622
2.205 -1.399 1.655
0.479 -4.249 0.214
2.748 -4.277 -2.866
2.711 -7.032 -0.768
1.607 -3.325 4.251
3.530 -3.589 0.026
```

Below is CaHoIr after structural relaxation, with properties calculated at the PBE level.

formation energy = -11.37 kcal/mol of atoms

Geometry as POSCAR:
```
CaHoIr
1.0
3.437 0.000 0.000
0.000 3.437 0.000
-1.719 -1.719 6.576
Ca Ir Ho
1 1 1
Cartesian
0.000 0.000 0.457
1.719 1.719 2.322
0.000 0.000 3.797
```

Below is TaV4Ga3 after structural relaxation, with properties calculated at the PBE level.

formation energy = -3.65 kcal/mol of atoms

Geometry as POSCAR:
```
TaV4Ga3
1.0
4.171 0.000 0.000
0.000 3.408 -0.335
-2.085 -0.904 8.302
Ga V Ta
3 4 1
Cartesian
0.000 0.215 2.187
2.085 2.290 5.780
0.000 1.704 -0.167
0.000 0.597 6.064
0.000 2.118 4.038
2.085 0.387 3.929
2.085 1.908 1.903
2.085 0.000 0.000
```

Below is Pm5MgAu4 after structural relaxation, with properties calculated at the PBE level.

formation energy = -14.97 kcal/mol of atoms

Geometry as POSCAR:
```
Pm5MgAu4
1.0
3.721 0.000 0.000
0.000 3.721 0.000
0.000 0.000 18.620
Au Mg Pm
4 1 5
Cartesian
0.000 0.000 11.141
0.000 0.000 14.877
0.000 0.000 3.743
0.000 0.000 7.479
0.000 0.000 0.000
1.861 1.861 5.649
1.861 1.861 16.600
1.861 1.861 12.971
1.861 1.861 2.020
1.861 1.861 9.310
```